Density functional theory data (GGA-PBE) for a geometry-optimized CuSiP2 structure.

Computed properties:
Symmetry: I-4m2
E_form (uncorrected) in eV per atom: 0.488

a b c (Å): 5.523 5.523 5.523
angles (deg): 143.60 143.60 52.42
Fractional coordinates of all 4 atoms:
P: 0.000 0.000 0.000
P: 0.250 0.750 0.500
Cu: 0.750 0.250 0.500
Si: 0.500 0.500 0.000



Density functional theory data (GGA-PBE) for a geometry-optimized CuSiP structure.

Computed properties:
Symmetry: Pnma
Energy above the most stable polymorph in this dataset in meV per atom: 76
E_form (uncorrected) in eV per atom: 0.142

a b c (Å): 3.411 6.836 8.181
angles (deg): 90.00 90.00 90.00
Fractional coordinates of all 12 atoms:
Cu: 0.250 0.030 0.384
Cu: 0.750 0.470 0.884
Cu: 0.250 0.530 0.116
Cu: 0.750 0.970 0.616
Si: 0.750 0.300 0.539
Si: 0.250 0.200 0.039
Si: 0.750 0.800 0.961
Si: 0.250 0.700 0.461
P: 0.750 0.029 0.173
P: 0.750 0.529 0.327
P: 0.250 0.471 0.673
P: 0.250 0.971 0.827



Density functional theory data (GGA-PBE) for a geometry-optimized CuSiP2 structure.

Computed properties:
Symmetry: Immm
E_form (uncorrected) in eV per atom: 0.261

a b c (Å): 5.682 5.682 5.682
angles (deg): 145.13 142.51 52.13
Fractional coordinates of all 4 atoms:
P: 0.912 0.912 0.000
P: 0.588 0.588 0.000
Cu: 0.250 0.750 0.500
Si: 0.750 0.250 0.500



Density functional theory data (GGA-PBE) for a geometry-optimized CuSiP2 structure.

Computed properties:
Symmetry: P2/m
E_form (uncorrected) in eV per atom: 0.154

a b c (Å): 3.477 2.494 7.305
angles (deg): 69.37 90.00 90.00
Fractional coordinates of all 4 atoms:
P: 0.000 0.510 0.991
P: 0.000 0.990 0.509
Cu: 0.500 0.750 0.750
Si: 0.500 0.250 0.250



Density functional theory data (GGA-PBE) for a geometry-optimized CuSiP structure.

Computed properties:
Symmetry: I4mm
Energy above the most stable polymorph in this dataset in meV per atom: 279
E_form (uncorrected) in eV per atom: 0.345

a b c (Å): 7.500 7.500 2.489
angles (deg): 80.45 80.45 19.10
Fractional coordinates of all 3 atoms:
P: 0.638 0.638 0.362
Cu: 0.999 0.999 0.001
Si: 0.363 0.363 0.637



Density functional theory data (GGA-PBE) for a geometry-optimized CuSi2P3 structure.

Computed properties:
Symmetry: Cc
E_form (uncorrected) in eV per atom: -0.212

a b c (Å): 6.446 6.446 6.430
angles (deg): 99.36 99.36 120.23
Fractional coordinates of all 12 atoms:
P: 0.049 0.216 0.382
P: 0.887 0.393 0.886
P: 0.393 0.887 0.386
P: 0.723 0.560 0.383
P: 0.560 0.723 0.883
P: 0.216 0.049 0.882
Si: 0.270 0.771 0.006
Si: 0.771 0.270 0.506
Si: 0.416 0.580 0.505
Si: 0.580 0.416 0.005
Cu: 0.929 0.101 0.009
Cu: 0.101 0.929 0.509